Version w
Density functional theory data (PBE-GGA) for HgSbI3 after structural relaxation.

Geometry as CIF:
```
data_HgSbI3
_chemical_formula_sum 'Hg1 Sb1 I3'
_space_group_name_H-M_alt 'P m -3 m'
_space_group_IT_number 221
_space_group_name_Hall '-P 4 2 3'
_cell_length_a 6.0299
_cell_length_b 6.0299
_cell_length_c 6.0299
_cell_angle_alpha 90.00
_cell_angle_beta 90.00
_cell_angle_gamma 90.00
loop_
_atom_site_label
_atom_site_type_symbol
_atom_site_fract_x
_atom_site_fract_y
_atom_site_fract_z
_atom_site_occupancy
Hg1 Hg 0.0000 0.0000 0.0000 1
Sb1 Sb 0.5000 0.5000 0.5000 1
I1 I 0.0000 0.5000 0.5000 1
```

---

Version x
Density functional theory data (PBE-GGA) for HgSbI3 after structural relaxation.

Geometry as CIF:
```
data_HgSbI3
_chemical_formula_sum 'Hg6 Sb6 I18'
_space_group_name_H-M_alt 'R -3'
_space_group_IT_number 148
_space_group_name_Hall '-R 3'
_cell_length_a 7.6269
_cell_length_b 7.6269
_cell_length_c 30.5860
_cell_angle_alpha 90.00
_cell_angle_beta 90.00
_cell_angle_gamma 120.00
loop_
_atom_site_label
_atom_site_type_symbol
_atom_site_fract_x
_atom_site_fract_y
_atom_site_fract_z
_atom_site_occupancy
Hg1 Hg 0.0000 0.0000 0.1625 1
Sb1 Sb 0.0000 0.0000 0.3336 1
I1 I 0.0017 0.3517 0.0586 1
```

---

Decreasing stability: version x, version w

---

Version w
Density functional theory data (PBE-GGA) for Hg3Sb2I2 after structural relaxation.

Geometry as CIF:
```
data_Hg3Sb2I2
_chemical_formula_sum 'Hg6 Sb4 I4'
_space_group_name_H-M_alt 'P 1 21/c 1'
_space_group_IT_number 14
_cell_length_a 6.6993
_cell_length_b 8.3314
_cell_length_c 10.9247
_cell_angle_alpha 90.00
_cell_angle_beta 101.62
_cell_angle_gamma 90.00
loop_
_space_group_symop_operation_xyz
'x,y,z'
'-x,-y,-z'
'-x,y+1/2,-z+1/2'
'x,-y+1/2,z+1/2'
loop_
_atom_site_label
_atom_site_type_symbol
_atom_site_fract_x
_atom_site_fract_y
_atom_site_fract_z
_atom_site_occupancy
Hg1 Hg 0.0000 0.0000 0.0000 1
Hg2 Hg 0.9996 0.2489 0.2497 1
Sb1 Sb 0.1513 0.0010 0.6270 1
I1 I 0.4539 0.5020 0.7080 1
```

---

Version x
Density functional theory data (PBE-GGA) for Hg3Sb2I2 after structural relaxation.

Geometry as CIF:
```
data_Hg3Sb2I2
_chemical_formula_sum 'Hg3 Sb2 I2'
_space_group_name_H-M_alt 'P -1'
_space_group_IT_number 2
_cell_length_a 4.9638
_cell_length_b 6.5840
_cell_length_c 9.1386
_cell_angle_alpha 91.00
_cell_angle_beta 100.30
_cell_angle_gamma 107.51
loop_
_space_group_symop_operation_xyz
'x,y,z'
'-x,-y,-z'
loop_
_atom_site_label
_atom_site_type_symbol
_atom_site_fract_x
_atom_site_fract_y
_atom_site_fract_z
_atom_site_occupancy
Hg1 Hg 0.0000 0.0000 0.0000 1
Hg2 Hg 0.2758 0.6791 0.3297 1
Sb1 Sb 0.2623 0.6758 0.0300 1
I1 I 0.3670 0.7321 0.6398 1
```

---

Decreasing stability: version x, version w

---

Version w
Density functional theory data (PBE-GGA) for Hg5SbI2 after structural relaxation.

Geometry as CIF:
```
data_Hg5SbI2
_chemical_formula_sum 'Hg10 Sb2 I4'
_space_group_name_H-M_alt 'I 4 m m'
_space_group_IT_number 107
_space_group_name_Hall 'I 4 -2'
_cell_length_a 7.6273
_cell_length_b 7.6273
_cell_length_c 9.7195
_cell_angle_alpha 90.00
_cell_angle_beta 90.00
_cell_angle_gamma 90.00
loop_
_atom_site_label
_atom_site_type_symbol
_atom_site_fract_x
_atom_site_fract_y
_atom_site_fract_z
_atom_site_occupancy
Hg1 Hg 0.0000 0.0000 0.0000 1
Hg2 Hg 0.2373 0.2373 0.5409 1
Sb1 Sb 0.0000 0.0000 0.6748 1
I1 I 0.0000 0.5000 0.3237 1
```

---

Version x
Density functional theory data (PBE-GGA) for Hg5SbI2 after structural relaxation.

Geometry as CIF:
```
data_Hg5SbI2
_chemical_formula_sum 'Hg20 Sb4 I8'
_space_group_name_H-M_alt 'C m c m'
_space_group_IT_number 63
_space_group_name_Hall '-C 2c 2'
_cell_length_a 6.0254
_cell_length_b 17.0018
_cell_length_c 13.5291
_cell_angle_alpha 90.00
_cell_angle_beta 90.00
_cell_angle_gamma 90.00
loop_
_atom_site_label
_atom_site_type_symbol
_atom_site_fract_x
_atom_site_fract_y
_atom_site_fract_z
_atom_site_occupancy
Hg1 Hg 0.0000 0.0984 0.0990 1
Hg2 Hg 0.0000 0.2962 0.7500 1
Hg3 Hg 0.0000 0.2992 0.5042 1
Sb1 Sb 0.0000 0.2059 0.2500 1
I1 I 0.0000 0.0808 0.6119 1
```

---

Decreasing stability: version x, version w

---

Version w
Density functional theory data (PBE-GGA) for HgSbI after structural relaxation.

Geometry as CIF:
```
data_HgSbI
_chemical_formula_sum 'Hg2 Sb2 I2'
_space_group_name_H-M_alt 'P -1'
_space_group_IT_number 2
_cell_length_a 4.2387
_cell_length_b 7.7452
_cell_length_c 8.2924
_cell_angle_alpha 114.62
_cell_angle_beta 90.01
_cell_angle_gamma 105.83
loop_
_space_group_symop_operation_xyz
'x,y,z'
'-x,-y,-z'
loop_
_atom_site_label
_atom_site_type_symbol
_atom_site_fract_x
_atom_site_fract_y
_atom_site_fract_z
_atom_site_occupancy
Hg1 Hg 0.1516 0.3014 0.1099 1
Sb1 Sb 0.1760 0.3517 0.4573 1
I1 I 0.3984 0.7977 0.1673 1
```

---

Version x
Density functional theory data (PBE-GGA) for HgSbI after structural relaxation.

Geometry as CIF:
```
data_HgSbI
_chemical_formula_sum 'Hg4 Sb4 I4'
_space_group_name_H-M_alt 'I m m m'
_space_group_IT_number 71
_space_group_name_Hall '-I 2 2'
_cell_length_a 3.7039
_cell_length_b 6.4652
_cell_length_c 16.9264
_cell_angle_alpha 90.00
_cell_angle_beta 90.00
_cell_angle_gamma 90.00
loop_
_atom_site_label
_atom_site_type_symbol
_atom_site_fract_x
_atom_site_fract_y
_atom_site_fract_z
_atom_site_occupancy
Hg1 Hg 0.0000 0.0000 0.1670 1
Sb1 Sb 0.0000 0.2183 0.0000 1
I1 I 0.0000 0.0000 0.3446 1
```

---

Decreasing stability: version w, version x